1.
! NaTlO2 (PBE, optimized geometry); values from VASP
! Formation energy without anion corrections ... -0.688 eV/atom
&SYSTEM
  ibrav = 0, nat = 4, ntyp = 3
/
ATOMIC_SPECIES
Na 22.99 Na.upf
Tl 204.38 Tl.upf
O 16.00 O.upf
ATOMIC_POSITIONS angstrom
Na 0.000 0.000 0.000
Tl 2.918 2.918 2.918
O 1.459 1.459 1.459
O 4.376 4.376 4.376
CELL_PARAMETERS angstrom
0.000 2.918 2.918
2.918 0.000 2.918
2.918 2.918 0.000


2.
! ZrPtCl2 (PBE, optimized geometry); values from VASP
! Energy above the lowest structure with this stoichiometry ... 0.000 eV/atom
! Formation energy without anion corrections ... -1.163 eV/atom
&SYSTEM
  ibrav = 0, nat = 4, ntyp = 3
/
ATOMIC_SPECIES
Zr 91.22 Zr.upf
Pt 195.08 Pt.upf
Cl 35.45 Cl.upf
ATOMIC_POSITIONS angstrom
Zr 0.000 0.000 0.000
Pt 1.849 1.708 1.151
Cl 0.000 0.000 2.595
Cl 1.879 1.708 5.935
CELL_PARAMETERS angstrom
3.697 0.000 0.000
0.000 3.415 0.000
-1.822 0.000 7.885


3.
! NbIrSeF2 (PBE, optimized geometry); values from VASP
! Formation energy without anion corrections ... 0.048 eV/atom
&SYSTEM
  ibrav = 0, nat = 5, ntyp = 4
/
ATOMIC_SPECIES
Nb 92.91 Nb.upf
Ir 192.22 Ir.upf
Se 78.96 Se.upf
F 19.00 F.upf
ATOMIC_POSITIONS angstrom
Nb 0.000 0.000 0.000
Ir 1.992 1.992 0.000
Se 1.992 1.992 2.670
F 0.000 1.992 2.670
F 1.992 0.000 2.670
CELL_PARAMETERS angstrom
3.985 0.000 0.000
0.000 3.985 0.000
0.000 0.000 5.341


4.
! Na2CeGaF8 (PBE, optimized geometry); values from VASP
! Formation energy without anion corrections ... -3.114 eV/atom
&SYSTEM
  ibrav = 0, nat = 12, ntyp = 4
/
ATOMIC_SPECIES
Na 22.99 Na.upf
Ce 140.12 Ce.upf
Ga 69.72 Ga.upf
F 19.00 F.upf
ATOMIC_POSITIONS angstrom
Na 0.000 1.583 0.000
Na 0.000 5.361 0.000
Ce 2.485 3.472 2.591
Ga 2.485 0.000 2.591
F 0.897 3.472 1.035
F 1.160 0.000 1.275
F 1.574 1.482 3.540
F 1.574 5.461 3.540
F 3.395 1.482 1.642
F 3.395 5.461 1.642
F 3.810 0.000 3.907
F 4.072 3.472 4.147
CELL_PARAMETERS angstrom
5.035 0.000 0.000
0.000 6.944 0.000
-0.066 0.000 5.182


5.
! SmTh2Co2 (PBE, optimized geometry); values from VASP
! Energy above the lowest structure with this stoichiometry ... 0.004 eV/atom
! E_form ... -0.1731 eV/atom
&SYSTEM
  ibrav = 0, nat = 10, ntyp = 3
/
ATOMIC_SPECIES
Sm 150.36 Sm.upf
Th 232.04 Th.upf
Co 58.93 Co.upf
ATOMIC_POSITIONS angstrom
Sm 0.227 0.000 3.364
Sm 6.553 0.000 6.312
Th -1.480 0.000 9.131
Th 3.669 0.000 3.052
Th 3.110 0.000 6.624
Th 8.260 0.000 0.545
Co -4.447 0.000 8.432
Co -1.931 0.000 5.317
Co 8.711 0.000 4.359
Co 11.227 0.000 1.244
CELL_PARAMETERS angstrom
6.553 -1.874 0.000
6.553 1.874 0.000
-6.326 0.000 9.676


6.
! ThTi3Sb2 (PBE, optimized geometry); values from VASP
! Formation energy without anion corrections ... -0.452 eV/atom
&SYSTEM
  ibrav = 0, nat = 12, ntyp = 3
/
ATOMIC_SPECIES
Th 232.04 Th.upf
Ti 47.87 Ti.upf
Sb 121.76 Sb.upf
ATOMIC_POSITIONS angstrom
Th 2.207 0.000 0.328
Th 11.419 0.000 7.416
Ti -0.541 0.000 3.279
Ti 3.462 0.000 4.103
Ti 5.923 0.000 2.557
Ti 7.703 0.000 5.187
Ti 10.163 0.000 3.641
Ti 14.167 0.000 4.465
Sb 1.033 0.000 5.665
Sb 5.184 0.000 6.294
Sb 8.442 0.000 1.450
Sb 12.593 0.000 2.079
CELL_PARAMETERS angstrom
8.602 -2.027 0.000
8.602 2.027 0.000
-3.579 0.000 7.744


Number 1: theoretical density 8.67 g/cm3, total DFT energy (no corrections) -4.089 eV/atom, total magnetic moment 0.0 μB/cell. Number 2: theoretical density 5.96 g/cm3, total DFT energy (no corrections) -5.734 eV/atom, total magnetic moment 0.0 μB/cell. Number 3: theoretical density 7.87 g/cm3, total DFT energy (no corrections) -5.183 eV/atom, total magnetic moment 1.5 μB/cell. Number 4: theoretical density 3.74 g/cm3, total DFT energy (no corrections) -5.328 eV/atom, total magnetic moment 1.0 μB/cell. Number 5: theoretical density 10.24 g/cm3, total DFT energy (no corrections) -6.927 eV/atom, total magnetic moment 0.0 μB/cell. Number 6: theoretical density 7.61 g/cm3, total DFT energy (no corrections) -7.010 eV/atom, total magnetic moment 0.0 μB/cell.